No. 1
# CrCdOs2

A relaxed structure of CrCdOs2 (PBE, the Alexandria database). Values from VASP.

Computed properties:
D(E_F)	4.1	states/eV/cell
total DFT energy (no corrections)	-31.2	eV/cell

```
&SYSTEM
  ibrav = 0, nat = 4, ntyp = 3
/
ATOMIC_SPECIES
Cd 112.41 Cd.upf
Cr 52.00 Cr.upf
Os 190.23 Os.upf
CELL_PARAMETERS angstrom
2.8002 0.0000 0.0000
0.0000 3.8564 0.0000
0.0000 0.0000 5.7625
ATOMIC_POSITIONS crystal
Cd 0.0000 0.0000 0.5053
Cr 0.5000 0.5000 0.7763
Os 0.0000 0.0000 0.0068
Os 0.5000 0.5000 0.2116
```

No. 2
# Tl2CrInSe4

A relaxed structure of Tl2CrInSe4 (PBE, the Alexandria database). Values from VASP.

Computed properties:
uncorrected formation energy	-0.425	eV per atom
D(E_F)	4.4	states/eV/cell

```
&SYSTEM
  ibrav = 0, nat = 16, ntyp = 4
/
ATOMIC_SPECIES
Tl 204.38 Tl.upf
Cr 52.00 Cr.upf
In 114.82 In.upf
Se 78.96 Se.upf
CELL_PARAMETERS angstrom
-0.3398 3.4419 -7.5700
-1.4817 -7.4805 -3.3338
-4.9096 2.7861 5.8600
ATOMIC_POSITIONS crystal
Tl 0.5000 0.0000 0.0000
Tl 0.5000 0.0000 0.5000
Tl 0.0000 0.0000 0.5000
Tl 0.5000 0.5000 0.0000
Cr 0.0000 0.5000 0.0000
Cr 0.0000 0.5000 0.5000
In 0.5000 0.5000 0.5000
In 0.0000 0.0000 0.0000
Se 0.1904 0.7115 0.9510
Se 0.7885 0.3096 0.5490
Se 0.2115 0.6904 0.4510
Se 0.8096 0.2885 0.0490
Se 0.7764 0.7236 0.9798
Se 0.7764 0.7236 0.5202
Se 0.2236 0.2764 0.4798
Se 0.2236 0.2764 0.0202
```

> Which of these has the highest D(E_F)?

Tl2CrInSe4

> The highest D(E_F) belongs to which entry?

Tl2CrInSe4